## CaMnCo3 (GGA-PBE)

Data for a relaxed structure of CaMnCo3.

Cell: 4.304 4.304 4.304 Å, 90.00 90.00 90.00°
Fractional positions:
1 Co 0.000 0.500 0.000
2 Ca 0.500 0.500 0.500
3 Mn 0.000 0.000 0.000
4 Co 0.500 0.000 0.000
5 Co 0.000 0.000 0.500

**Calculated total energy**: -5.8162 eV/atom
**Calculated formation energy**: 329 kJ/mol of formula units
**Crystal system**: cubic
**Total magnetization**: 2.7 μB/cell